No. 1
Here is crystalline NaCo2BHIr at its relaxed geometry from the Alexandria database. Energies are from PBE.

a = 2.5676 Å, b = 4.8379 Å, c = 5.1187 Å
α = 94.23°, β = 90.17°, γ = 91.46°
Positions (direct):
Na: 0.0000 0.0000 0.0000
Co: 0.3893 0.7354 0.4549
Co: 0.3907 0.5024 0.9008
B: 0.8791 0.5077 0.2064
H: 0.8843 0.6566 0.7009
Ir: 0.8587 0.2386 0.5072

Summary:
SG: P1, No. 1



No. 2
Here is crystalline NaCo2BHIr at its relaxed geometry from the Alexandria database. Energies are from PBE.

a = 5.3203 Å, b = 5.3203 Å, c = 5.5535 Å
α = 117.20°, β = 117.20°, γ = 29.38°
Positions (direct):
Na: 0.0000 0.0000 0.0000
Co: 0.2381 0.2381 0.9330
Co: 0.5810 0.5810 0.5521
B: 0.2304 0.2304 0.5600
H: 0.4072 0.4072 0.2464
Ir: 0.8225 0.8225 0.3863

Summary:
SG: Cm, No. 8



No. 3
Here is crystalline NaCo2BHIr at its relaxed geometry from the Alexandria database. Energies are from PBE.

a = 5.3081 Å, b = 5.3081 Å, c = 5.3736 Å
α = 119.12°, β = 119.12°, γ = 28.95°
Positions (direct):
Na: 0.0000 0.0000 0.0000
Co: 0.2634 0.2634 0.0087
Co: 0.5355 0.5355 0.5265
B: 0.8554 0.8554 0.3486
H: 0.6462 0.6462 0.8858
Ir: 0.2574 0.2574 0.5246

Summary:
SG: Cm, No. 8



D(E_F) values (in states/eV per cell) by entry order: 4.28 5.03 5.35.
Energy above the lowest structure with this stoichiometry values (in eV/f.u.) by entry order: 0.83 0.51 0.28.